Record 1
AcTb3Pb3: optimized geometry, PBE.

Lattice parameters (Å, degrees): 9.5930 9.5930 5.5726 90.00 90.00 120.00
Space group P6_3/m (No. 176)
Asymmetric unit:
Ac: 0.3333 0.6667 0.2500 (multiplicity 2)
Tb: 0.0030 0.2337 0.2500 (multiplicity 6)
Pb: 0.0748 0.4426 0.7500 (multiplicity 6)

## Properties
The calculation puts the mass density at 9.911 g/cm³. For the total magnetic moment, the calculation gives 0.000 Bohr magnetons per cell. As for the total energy: -4.54 eV per atom.

Record 2
AcTb2Pb: optimized geometry, PBE.

Lattice parameters (Å, degrees): 3.7178 3.7178 33.9281 90.00 90.00 120.00
Space group R3m (No. 160, hexagonal axes)
Asymmetric unit:
Ac: 0.0000 0.0000 0.0000 (multiplicity 3)
Tb: 0.0000 0.0000 0.2426 (multiplicity 3)
Tb: 0.0000 0.0000 0.4238 (multiplicity 3)
Pb: 0.0000 0.0000 0.8335 (multiplicity 3)

## Properties
The calculation puts the mass density at 9.223 g/cm³. For the total magnetic moment, the calculation gives 0.000 Bohr magnetons per cell. As for the total energy: -4.38 eV per atom.

Record 3
Ac2TbPb2: optimized geometry, PBE.

Lattice parameters (Å, degrees): 8.505 8.505 4.975 90.00 90.00 90.00
Space group P4/mbm (No. 127)
Asymmetric unit:
Ac: 0.171 0.329 0.000 (multiplicity 4)
Tb: 0.000 0.000 0.500 (multiplicity 2)
Pb: 0.134 0.634 0.500 (multiplicity 4)

## Properties
The calculation puts the mass density at 9.481 g/cm³. For the total magnetic moment, the calculation gives 0.000 Bohr magnetons per cell. As for the total energy: -4.56 eV per atom.

Record 4
Ac2TbPb3: optimized geometry, PBE.

Lattice parameters (Å, degrees): 5.996 7.527 8.950 90.00 99.62 90.00
Space group P2/m (No. 10)
Asymmetric unit:
Ac: 0.000 0.000 0.000 (multiplicity 1)
Ac: 0.000 0.500 0.000 (multiplicity 1)
Ac: 0.359 0.000 0.677 (multiplicity 2)
Tb: 0.362 0.500 0.671 (multiplicity 2)
Pb: 0.147 0.271 0.352 (multiplicity 4)
Pb: 0.500 0.267 0.000 (multiplicity 2)

## Properties
The calculation puts the mass density at 10.296 g/cm³. For the total magnetic moment, the calculation gives 0.000 Bohr magnetons per cell. As for the total energy: -4.46 eV per atom.

Record 5
Ac3TbPb4: optimized geometry, PBE.

Lattice parameters (Å, degrees): 4.124 4.124 16.085 90.00 90.00 90.00
Space group P4/mmm (No. 123)
Asymmetric unit:
Ac: 0.000 0.000 0.000 (multiplicity 1)
Ac: 0.000 0.000 0.266 (multiplicity 2)
Tb: 0.000 0.000 0.500 (multiplicity 1)
Pb: 0.500 0.500 0.135 (multiplicity 2)
Pb: 0.500 0.500 0.399 (multiplicity 2)

## Properties
The calculation puts the mass density at 10.130 g/cm³. For the total magnetic moment, the calculation gives 0.000 Bohr magnetons per cell. As for the total energy: -4.43 eV per atom.

Record 6
Ac3Tb2Pb4: optimized geometry, PBE.

Lattice parameters (Å, degrees): 14.196 4.874 10.366 90.00 115.38 90.00
Space group C2/m (No. 12)
Asymmetric unit:
Ac: 0.000 0.000 0.000 (multiplicity 2)
Ac: 0.122 0.500 0.700 (multiplicity 4)
Tb: 0.183 0.500 0.354 (multiplicity 4)
Pb: 0.074 0.000 0.410 (multiplicity 4)
Pb: 0.203 0.500 0.066 (multiplicity 4)

## Properties
The calculation puts the mass density at 9.367 g/cm³. For the total magnetic moment, the calculation gives 0.000 Bohr magnetons per cell. As for the total energy: -4.50 eV per atom.